Below is a relaxed structure of La3ZrS, with properties calculated at the PBE level.

Cell: 5.509 5.509 5.509 Å, 90.00 90.00 90.00°
Space group Pm-3m (No. 221)
Symmetry-distinct sites (fractional):
La1 0.000 0.000 0.500
Zr1 0.500 0.500 0.500
S1 0.000 0.000 0.000

Summary:
Formation energy (no corrections) ... -46.5 kJ/mol of atoms
Density of states at the Fermi level ... 1.238 states/eV per atom
Total moment ... 0.00 μB/f.u.
Final energy ... -29.87 eV per cell